Material: KCoAg2F6
Method: DFT, PBE+U
State: optimized geometry

a b c (Å): 5.892 6.173 10.137
angles (deg): 90.00 124.85 90.00
Space group P2_1/c (No. 14)
Asymmetric unit:
K: 0.000 0.000 0.000
Co: 0.500 0.000 0.500
Ag: 0.222 0.039 0.735
F: 0.205 0.162 0.466
F: 0.251 0.733 0.893
F: 0.427 0.103 0.304

Properties
- D(E_F) (states/eV/cell) = 0.0
- final energy (eV/cell) = -80.7